PuTaMn2 (GGA-PBE, relaxed); symmetry = Fm-3m; excess energy over the best structure of this formula in the dataset = 103 meV/atom
1.0
0.000 3.164 3.164
3.164 0.000 3.164
3.164 3.164 0.000
Pu Ta Mn
1 1 2
Cartesian
0.000 0.000 0.000
3.164 3.164 3.164
1.582 1.582 1.582
4.746 4.746 4.746